## SrNdMnCoO6 (PBE with a Hubbard U)

Data for a relaxed structure of SrNdMnCoO6.

```
SrNdMnCoO6
1.0
-4.9946 -0.5873 2.1413
-1.9713 -4.9976 1.0075
-0.5782 -1.7217 5.1554
Sr Mn O Nd Co
1 1 6 1 1
Direct
0.5000 0.5000 0.5000 Sr
0.7500 0.7500 0.7500 Mn
0.5024 0.9976 0.5024 O
0.9976 0.5024 0.9976 O
0.5024 0.9976 0.9976 O
0.9976 0.5024 0.5024 O
0.5024 0.5024 0.9976 O
0.9976 0.9976 0.5024 O
0.0000 0.0000 0.0000 Nd
0.2500 0.2500 0.2500 Co
```

DOS(E_F) = 3.7 states/eV per cell
Raw total energy = -6.9270 eV/atom
Symmetry = F-43m (216)